The following is a PBE-GGA calculation of ScCo3 after structural relaxation, from Alexandria.

abc: 8.0003 8.0003 8.0003
angles: 153.28 153.28 38.15
Closest atoms and distances in Å follow each position.
Element x y z (fractional)
Co  0.7500  0.2500  0.5000  8 Co 2.60-2.61, 4 Sc 2.68
Co  0.2500  0.7500  0.5000  8 Co 2.60-2.61, 4 Sc 2.68
Co  0.0000  0.5000  0.5000  4 Sc 2.60, 8 Co 2.61-2.69
Co  0.8709  0.8709  0.0000  8 Co 2.60-2.69, 4 Sc 2.62
Sc  0.3787  0.3787  0.0000  12 Co 2.60-2.68
Sc  0.6213  0.6213  0.0000  12 Co 2.60-2.68
Co  0.1291  0.1291  0.0000  8 Co 2.60-2.69, 4 Sc 2.62
Co  0.5000  0.0000  0.5000  4 Sc 2.60, 8 Co 2.61-2.69

Output
* crystal system: tetragonal



The following is a PBE-GGA calculation of Sc3Co4 after structural relaxation, from Alexandria.

abc: 6.8895 6.8895 6.8895
angles: 113.59 113.59 113.59
Closest atoms and distances in Å follow each position.
Element x y z (fractional)
Co  0.0683  0.7909  0.6515  7 Sc 2.59-2.76, 1 Co 2.60
Sc  0.2798  0.1366  0.5580  8 Co 2.59-2.76
Sc  0.5580  0.2798  0.1366  8 Co 2.59-2.76
Co  0.3485  0.9317  0.2091  7 Sc 2.59-2.76, 1 Co 2.60
Co  0.5000  0.5000  0.5000  6 Sc 2.64, 2 Co 2.67
Co  0.0000  0.0000  0.0000  8 Co 2.60-2.67
Sc  0.7202  0.8634  0.4420  8 Co 2.59-2.76
Sc  0.8634  0.4420  0.7202  8 Co 2.59-2.76
Co  0.7909  0.6515  0.0683  7 Sc 2.59-2.76, 1 Co 2.60
Co  0.2091  0.3485  0.9317  7 Sc 2.59-2.76, 1 Co 2.60
Sc  0.1366  0.5580  0.2798  8 Co 2.59-2.76
Sc  0.4420  0.7202  0.8634  8 Co 2.59-2.76
Co  0.6515  0.0683  0.7909  7 Sc 2.59-2.76, 1 Co 2.60
Co  0.9317  0.2091  0.3485  7 Sc 2.59-2.76, 1 Co 2.60

Output
* crystal system: trigonal



The following is a PBE-GGA calculation of ScCo2 after structural relaxation, from Alexandria.

abc: 4.7835 4.7835 5.1325
angles: 68.92 68.92 50.76
Closest atoms and distances in Å follow each position.
Element x y z (fractional)
Co  0.0000  0.0000  0.5000  2 Co 2.57, 4 Sc 2.63
Co  0.2967  0.2967  0.8895  3 Co 2.33-2.40, 1 Sc 2.60
Sc  0.6273  0.6273  0.6690  7 Co 2.60-2.67
Co  0.0000  0.0000  0.0000  4 Co 2.40-2.57, 4 Sc 2.61
Co  0.7033  0.7033  0.1105  3 Co 2.33-2.40, 1 Sc 2.60
Sc  0.3727  0.3727  0.3310  7 Co 2.60-2.67

Output
* crystal system: monoclinic



The following is a PBE-GGA calculation of ScCo3 after structural relaxation, from Alexandria.

abc: 3.0531 2.9391 6.6791
angles: 90.00 62.70 90.00
Closest atoms and distances in Å follow each position.
Element x y z (fractional)
Co  0.5360  0.0000  0.4640  5 Co 2.47-2.54, 4 Sc 2.71-2.72
Co  0.2500  0.5000  0.2500  8 Co 2.47
Co  0.9640  0.0000  0.0360  5 Co 2.47-2.54, 4 Sc 2.71-2.72
Sc  0.7500  0.5000  0.7500  10 Co 2.71-2.97, 2 Sc 2.94

Output
* crystal system: monoclinic



The following is a PBE-GGA calculation of ScCo2 after structural relaxation, from Alexandria.

abc: 5.1252 4.1588 7.7351
angles: 90.00 90.00 90.00
Closest atoms and distances in Å follow each position.
Element x y z (fractional)
Sc  0.3257  0.7500  0.4035  7 Co 2.49-2.66
Co  0.4688  0.7500  0.7610  5 Co 2.47-2.65, 2 Sc 2.66
Co  0.5312  0.2500  0.2390  5 Co 2.47-2.65, 2 Sc 2.66
Sc  0.6743  0.2500  0.5965  7 Co 2.49-2.66
Sc  0.8257  0.7500  0.0965  7 Co 2.49-2.66
Co  0.8411  0.7500  0.4310  3 Co 2.47-2.65, 5 Sc 2.49-2.65
Co  0.0312  0.2500  0.2610  5 Co 2.47-2.65, 2 Sc 2.66
Co  0.6589  0.2500  0.9310  3 Co 2.47-2.65, 5 Sc 2.49-2.65
Sc  0.1743  0.2500  0.9035  7 Co 2.49-2.66
Co  0.9688  0.7500  0.7390  5 Co 2.47-2.65, 2 Sc 2.66
Co  0.1589  0.2500  0.5690  3 Co 2.47-2.65, 5 Sc 2.49-2.65
Co  0.3411  0.7500  0.0690  3 Co 2.47-2.65, 5 Sc 2.49-2.65

Output
* crystal system: orthorhombic



The following is a PBE-GGA calculation of Sc4Co3 after structural relaxation, from Alexandria.

abc: 10.8496 10.8496 10.8496
angles: 162.06 162.06 25.48
Closest atoms and distances in Å follow each position.
Element x y z (fractional)
Sc  0.4313  0.4313  0.0000  5 Co 2.80-2.87, 1 Sc 2.91
Sc  0.8286  0.8286  0.0000  5 Co 2.49-2.63
Co  0.0000  0.0000  0.0000  8 Sc 2.80
Co  0.2958  0.2958  0.0000  5 Sc 2.49-2.63
Sc  0.1714  0.1714  0.0000  5 Co 2.49-2.63
Sc  0.5687  0.5687  0.0000  5 Co 2.80-2.87, 1 Sc 2.91
Co  0.7042  0.7042  0.0000  5 Sc 2.49-2.63

Output
* crystal system: tetragonal



The following is a PBE-GGA calculation of Sc2Co7 after structural relaxation, from Alexandria.

abc: 4.8130 4.8130 12.1768
angles: 78.60 78.60 60.00
Closest atoms and distances in Å follow each position.
Element x y z (fractional)
Sc  0.0519  0.0519  0.8442  12 Co 2.78-3.03
Co  0.3871  0.3871  0.3331  7 Co 2.38-2.43
Sc  0.8515  0.8515  0.4456  12 Co 2.75-2.96, 3 Sc 3.06
Co  0.3871  0.8927  0.3331  7 Co 2.38-2.43
Co  0.6129  0.1073  0.6669  7 Co 2.38-2.43
Co  0.6129  0.6129  0.6669  7 Co 2.38-2.43
Co  0.5000  0.5000  0.0000  8 Co 2.41-2.44
Co  0.0000  0.5000  0.0000  8 Co 2.41-2.44
Co  0.2780  0.2780  0.1661  6 Co 2.41
Co  0.5000  0.0000  0.0000  8 Co 2.41-2.44
Co  0.7220  0.7220  0.8339  6 Co 2.41
Co  0.5000  0.5000  0.5000  6 Co 2.43
Sc  0.1485  0.1485  0.5544  12 Co 2.75-2.96, 3 Sc 3.06
Co  0.1073  0.6129  0.6669  7 Co 2.38-2.43
Co  0.8927  0.3871  0.3331  7 Co 2.38-2.43
Sc  0.9481  0.9481  0.1558  12 Co 2.78-3.03
Co  0.6104  0.6104  0.1688  6 Co 2.40-2.44
Co  0.3896  0.3896  0.8312  6 Co 2.40-2.44

Output
* crystal system: trigonal



The following is a PBE-GGA calculation of ScCo3 after structural relaxation, from Alexandria.

abc: 4.0774 5.0990 5.1328
angles: 90.00 90.00 90.00
Closest atoms and distances in Å follow each position.
Element x y z (fractional)
Co  0.0000  0.2571  0.5000  6 Co 2.37-2.48, 2 Sc 2.64
Co  0.5000  0.7429  0.0000  6 Co 2.37-2.48, 2 Sc 2.64
Sc  0.5000  0.6184  0.5000  12 Co 2.64-2.90
Co  0.5000  0.1308  0.2560  7 Co 2.37-2.63
Sc  0.0000  0.3816  0.0000  12 Co 2.64-2.90
Co  0.0000  0.8692  0.7560  7 Co 2.37-2.63
Co  0.0000  0.8692  0.2440  7 Co 2.37-2.63
Co  0.5000  0.1308  0.7440  7 Co 2.37-2.63

Output
* crystal system: orthorhombic



The following is a PBE-GGA calculation of Sc3Co2 after structural relaxation, from Alexandria.

abc: 8.2217 7.1736 5.5031
angles: 79.68 59.14 41.19
Closest atoms and distances in Å follow each position.
Element x y z (fractional)
Sc  0.7238  0.5233  0.2772  1 Co 2.49, 2 Sc 2.75
Sc  0.1001  0.8999  0.8999  2 Co 2.52
Co  0.2900  0.0886  0.7110  2 Sc 2.49-2.52
Co  0.9104  0.7110  0.0886  2 Sc 2.49-2.52
Co  0.5390  0.3396  0.9600  2 Sc 2.49-2.52
Co  0.1614  0.9600  0.3396  2 Sc 2.49-2.52
Sc  0.4757  0.2772  0.5233  1 Co 2.49, 2 Sc 2.75
Sc  0.7267  0.5262  0.7743  1 Co 2.49, 2 Sc 2.75
Sc  0.9728  0.7743  0.5262  1 Co 2.49, 2 Sc 2.75
Sc  0.3501  0.1499  0.1499  2 Co 2.52

Output
* crystal system: orthorhombic



The following is a PBE-GGA calculation of ScCo2 after structural relaxation, from Alexandria.

abc: 5.0652 5.0652 6.5940
angles: 70.35 70.35 32.06
Closest atoms and distances in Å follow each position.
Element x y z (fractional)
Co  0.8641  0.8641  0.5205  7 Co 2.44-2.72, 1 Sc 2.62
Sc  0.8360  0.8360  0.1389  8 Co 2.62-2.78, 2 Sc 2.80
Co  0.4531  0.4531  0.7525  4 Co 2.44-2.47, 1 Sc 2.65
Co  0.1359  0.1359  0.4795  7 Co 2.44-2.72, 1 Sc 2.62
Co  0.5469  0.5469  0.2475  4 Co 2.44-2.47, 1 Sc 2.65
Sc  0.1640  0.1640  0.8611  8 Co 2.62-2.78, 2 Sc 2.80

Output
* crystal system: monoclinic



The following is a PBE-GGA calculation of Sc3Co5 after structural relaxation, from Alexandria.

abc: 7.7754 7.7758 4.6049
angles: 90.00 90.00 120.00
Closest atoms and distances in Å follow each position.
Element x y z (fractional)
Co  0.8224  0.0000  0.2500  2 Co 2.39, 2 Sc 2.52
Sc  0.6261  0.6261  0.2500  8 Co 2.52-2.76
Co  0.6667  0.3333  0.0000  2 Co 2.30
Sc  0.3739  0.3739  0.7500  8 Co 2.52-2.76
Sc  0.3739  0.0000  0.2500  8 Co 2.52-2.76
Co  0.1775  0.0000  0.7500  2 Co 2.39, 2 Sc 2.52
Sc  0.0000  0.3739  0.2500  8 Co 2.52-2.76
Co  0.3334  0.6666  0.0000  2 Co 2.30
Sc  0.6261  0.0000  0.7500  8 Co 2.52-2.76
Co  0.1776  0.1776  0.2500  2 Co 2.39, 2 Sc 2.52
Co  0.0000  0.8225  0.2500  2 Co 2.39, 2 Sc 2.52
Co  0.0000  0.1775  0.7500  2 Co 2.39, 2 Sc 2.52
Sc  0.0000  0.6261  0.7500  8 Co 2.52-2.76
Co  0.8224  0.8224  0.7500  2 Co 2.39, 2 Sc 2.52
Co  0.6667  0.3333  0.5000  2 Co 2.30
Co  0.3334  0.6666  0.5000  2 Co 2.30

Output
* crystal system: hexagonal



The following is a PBE-GGA calculation of ScCo2 after structural relaxation, from Alexandria.

abc: 5.0240 5.0240 5.0240
angles: 144.39 144.39 51.25
Closest atoms and distances in Å follow each position.
Element x y z (fractional)
Sc  0.5000  0.5000  0.0000  10 Co 2.74-2.85, 4 Sc 3.07
Co  0.8151  0.8151  0.0000  4 Co 2.47, 4 Sc 2.74
Co  0.1849  0.1849  0.0000  4 Co 2.47, 4 Sc 2.74

Output
* crystal system: tetragonal



Number 1: spin magnetization 3.5 μB/f.u., uncorrected energy -55.682 eV for the cell shown, formation enthalpy at 0 K -0.048 eV per atom. Number 2: spin magnetization 2.4 μB/f.u., uncorrected energy -98.192 eV for the cell shown, formation enthalpy at 0 K -0.240 eV per atom. Number 3: spin magnetization 1.9 μB/f.u., uncorrected energy -41.708 eV for the cell shown, formation enthalpy at 0 K -0.104 eV per atom. Number 4: spin magnetization 4.3 μB/f.u., uncorrected energy -27.767 eV for the cell shown, formation enthalpy at 0 K -0.030 eV per atom. Number 5: spin magnetization 1.7 μB/f.u., uncorrected energy -83.293 eV for the cell shown, formation enthalpy at 0 K -0.093 eV per atom. Number 6: spin magnetization 0.7 μB/f.u., uncorrected energy -47.283 eV for the cell shown, formation enthalpy at 0 K -0.091 eV per atom. Number 7: spin magnetization 8.8 μB/f.u., uncorrected energy -128.519 eV for the cell shown, formation enthalpy at 0 K -0.206 eV per atom. Number 8: spin magnetization 3.4 μB/f.u., uncorrected energy -56.098 eV for the cell shown, formation enthalpy at 0 K -0.100 eV per atom. Number 9: spin magnetization 0.0 μB/f.u., uncorrected energy -67.398 eV for the cell shown, formation enthalpy at 0 K -0.099 eV per atom. Number 10: spin magnetization 2.2 μB/f.u., uncorrected energy -41.191 eV for the cell shown, formation enthalpy at 0 K -0.017 eV per atom. Number 11: spin magnetization 4.6 μB/f.u., uncorrected energy -109.203 eV for the cell shown, formation enthalpy at 0 K -0.010 eV per atom. Number 12: spin magnetization 2.8 μB/f.u., uncorrected energy -20.817 eV for the cell shown, formation enthalpy at 0 K -0.091 eV per atom.